Record 1
The following is a PBE calculation of a relaxed structure of Lu3PbS, from Alexandria.

Lattice parameters (Å, degrees): 5.058 5.058 5.058 90.00 90.00 90.00
Fractional coordinates of all 5 atoms:
Pb 0.500 0.500 0.500
S 0.000 0.000 0.000
Lu 0.000 0.000 0.500
Lu 0.000 0.500 0.000
Lu 0.500 0.000 0.000

## Properties
The uncorrected formation energy comes out at -3.62 eV per formula unit. The calculation puts the size of the total moment at 0.001 μB/cell. Its total energy is -0.3678 Ry per atom. The space group is No. 221.

---

Record 2
The following is a PBE calculation of a relaxed structure of LuPbS2, from Alexandria.

Lattice parameters (Å, degrees): 3.844 3.844 8.900 77.53 77.53 60.00
Fractional coordinates of all 4 atoms:
S 0.110 0.110 0.671
S 0.890 0.890 0.329
Lu 0.500 0.500 0.500
Pb 0.000 0.000 0.000

## Properties
The uncorrected formation energy comes out at -5.29 eV per formula unit. The calculation puts the size of the total moment at 0.000 μB/cell. Its total energy is -0.4002 Ry per atom. The space group is No. 166.

---

Record 3
The following is a PBE calculation of a relaxed structure of LuSbPb2, from Alexandria.

Lattice parameters (Å, degrees): 3.443 3.443 12.198 81.89 81.89 60.00
Fractional coordinates of all 4 atoms:
Pb 0.913 0.913 0.261
Pb 0.087 0.087 0.739
Sb 0.500 0.500 0.500
Lu 0.000 0.000 0.000

## Properties
The uncorrected formation energy comes out at 0.80 eV per formula unit. The calculation puts the size of the total moment at 0.000 μB/cell. Its total energy is -0.2804 Ry per atom. The space group is No. 166.

---

Record 4
The following is a PBE calculation of a relaxed structure of LuScPb, from Alexandria.

Lattice parameters (Å, degrees): 3.513 3.513 6.865 104.82 104.82 90.00
Fractional coordinates of all 3 atoms:
Pb 0.945 0.945 0.890
Lu 0.617 0.617 0.234
Sc 0.288 0.288 0.576

## Properties
The calculation puts the formation energy at -0.260 eV per atom. The calculation puts the size of the total moment at 0.007 μB/cell. Its total energy is -0.3758 Ry per atom. The space group is No. 107.

---

Which value of size of the total moment does entry 4 give? 0.007 μB/cell

---

What is the formula in the second record? LuPbS2

---

Number 2 is which compound? LuPbS2